Here is an optimized crystal structure of K2VPbF8 from Alexandria. Energies are from GGA+U.

The structure in POSCAR format:
```
K2VPbF8
1.0
4.558 0.000 0.000
0.000 7.645 0.000
-0.545 0.000 6.025
K V Pb F
2 1 1 8
direct
0.000 0.239 0.000 K
0.000 0.761 0.000 K
0.500 0.000 0.500 V
0.500 0.500 0.500 Pb
0.046 0.500 0.266 F
0.153 0.000 0.323 F
0.388 0.187 0.689 F
0.388 0.813 0.689 F
0.612 0.187 0.311 F
0.612 0.813 0.311 F
0.847 0.000 0.677 F
0.954 0.500 0.734 F
```

Results
D(E_F) (states/eV/atom): 0.0000
Space-group type: P2/m
Final energy (eV per atom): -5.038